No. 1
Material: CaTl6Cd23
Method: DFT, PBE-GGA
State: relaxed

## Properties
Formation energy from the elements = -0.0026 eV per atom

The structure in POSCAR format:
```
CaTl6Cd23
1.0
8.8341 0.0000 5.1004
2.9447 8.3289 5.1004
0.0000 0.0000 10.2008
Ca Tl Cd
1 6 23
Direct
0.5000 0.5000 0.5000
0.7238 0.7238 0.2762
0.2762 0.2762 0.7238
0.7238 0.2762 0.2762
0.2762 0.7238 0.7238
0.7238 0.2762 0.7238
0.2762 0.7238 0.2762
0.6358 0.1214 0.1214
0.3642 0.8786 0.8786
0.1214 0.1214 0.6358
0.1214 0.1214 0.1214
0.8786 0.8786 0.3642
0.8786 0.8786 0.8786
0.1214 0.6358 0.1214
0.8786 0.3642 0.8786
0.5000 0.5000 0.0000
0.0000 0.0000 0.5000
0.5000 0.0000 0.0000
0.0000 0.5000 0.5000
0.5000 0.0000 0.5000
0.0000 0.5000 0.0000
0.9942 0.3353 0.3353
0.0058 0.6647 0.6647
0.3353 0.3353 0.9942
0.3353 0.3353 0.3353
0.6647 0.6647 0.0058
0.6647 0.6647 0.6647
0.3353 0.9942 0.3353
0.6647 0.0058 0.6647
0.0000 0.0000 0.0000
```

No. 2
Material: CaY3Ir
Method: DFT, PBE-GGA
State: relaxed

## Properties
Formation energy from the elements = -0.2964 eV per atom
E above lowest polymorph = 0.107 eV per atom

The structure in POSCAR format:
```
CaY3Ir
1.0
13.2612 0.0000 0.6123
5.3434 6.8934 -3.1049
-5.3434 6.8934 3.1049
Y Ca Ir
12 4 4
Direct
0.4648 0.2196 0.4257
0.0352 0.9257 0.7196
0.5352 0.7804 0.5743
0.9648 0.0743 0.2804
0.9571 0.2293 0.9096
0.5429 0.4096 0.7293
0.0429 0.7707 0.0904
0.4571 0.5904 0.2707
0.6611 0.8956 0.9596
0.8389 0.4596 0.3956
0.3389 0.1044 0.0404
0.1611 0.5404 0.6044
0.1190 0.3076 0.3122
0.3810 0.8122 0.8076
0.8810 0.6924 0.6878
0.6190 0.1878 0.1924
0.7500 0.1672 0.6672
0.2500 0.8328 0.3328
0.7500 0.5162 0.0162
0.2500 0.4838 0.9838
```

No. 3
Material: TlCd2SbIr
Method: DFT, PBE-GGA
State: relaxed

## Properties
Energy relative to the elements, uncorrected = 0.091 eV per atom

The structure in POSCAR format:
```
TlCd2SbIr
1.0
-4.3688 1.0797 2.8404
-1.2645 -5.1692 0.0201
2.5843 -0.6158 4.2090
Sb Tl Ir Cd
1 1 1 2
Direct
0.0000 0.0000 0.5000
0.5000 0.5000 0.5000
0.0000 0.0000 0.0000
0.0000 0.5000 0.0000
0.5000 0.0000 0.0000
```

No. 4
Material: LaMgNiHg
Method: DFT, PBE-GGA
State: relaxed

## Properties
Formation energy from the elements = -0.2394 eV per atom

The structure in POSCAR format:
```
LaMgNiHg
1.0
5.0349 0.0000 0.0000
2.5174 4.3603 0.0000
2.5174 1.4534 4.1109
Ni Mg Hg La
1 1 1 1
Direct
0.2500 0.2500 0.2500
0.5000 0.5000 0.5000
0.7500 0.7500 0.7500
0.0000 0.0000 0.0000
```

No. 5
Material: PrCdAg2
Method: DFT, PBE-GGA
State: relaxed

## Properties
Formation energy from the elements = -0.1089 eV per atom

The structure in POSCAR format:
```
PrCdAg2
1.0
4.1124 0.0000 0.0000
0.0000 4.8467 0.0000
0.0000 0.0000 4.8467
Pr Ag Cd
1 2 1
Direct
0.5000 0.5000 0.5000
0.0000 0.0000 0.5000
0.0000 0.5000 0.0000
0.5000 0.0000 0.0000
```

No. 6
Material: KHgPSe4
Method: DFT, PBE-GGA
State: relaxed

## Properties
Energy relative to the elements, uncorrected = -0.372 eV per atom

The structure in POSCAR format:
```
KHgPSe4
1.0
-5.7713 2.0450 2.9042
3.0623 -0.6807 6.5648
3.9363 9.4125 -0.8602
K Hg P Se
2 2 2 8
Direct
0.8106 0.7500 0.9676
0.1894 0.2500 0.0324
0.6877 0.7500 0.3393
0.3123 0.2500 0.6607
0.1627 0.7500 0.2631
0.8373 0.2500 0.7369
0.0402 0.4941 0.7330
0.9598 0.9941 0.2670
0.9598 0.5059 0.2670
0.0402 0.0059 0.7330
0.3251 0.7500 0.0870
0.6749 0.2500 0.9130
0.3660 0.7500 0.4496
0.6340 0.2500 0.5504
```

No. 7
Material: RbPm2Bi
Method: DFT, PBE-GGA
State: relaxed

## Properties
Formation energy from the elements = -0.0086 eV per atom

The structure in POSCAR format:
```
RbPm2Bi
1.0
4.9729 0.0000 0.0000
0.0000 5.2430 0.0000
0.0000 0.0000 5.2430
Bi Rb Pm
1 1 2
Direct
0.5000 0.0000 0.0000
0.5000 0.5000 0.5000
0.0000 0.0000 0.5000
0.0000 0.5000 0.0000
```

No. 8
Material: Sn3AsPAu
Method: DFT, PBE-GGA
State: relaxed

## Properties
Formation energy from the elements = 0.0297 eV per atom

The structure in POSCAR format:
```
Sn3AsPAu
1.0
3.7457 0.0000 0.0000
0.0000 8.8087 0.2467
0.0000 -3.1584 8.4355
Sn As P Au
6 2 2 2
Direct
0.2500 0.6707 0.5236
0.7500 0.9319 0.1529
0.7500 0.4402 0.1546
0.7500 0.3293 0.4764
0.2500 0.5598 0.8454
0.2500 0.0681 0.8471
0.2500 0.6823 0.1717
0.7500 0.3177 0.8283
0.2500 0.0767 0.5530
0.7500 0.9233 0.4470
0.7500 0.8031 0.8012
0.2500 0.1969 0.1988
```

No. 9
Material: Be2CrPt
Method: DFT, PBE-GGA
State: relaxed

## Properties
Formation energy from the elements = -0.1478 eV per atom

The structure in POSCAR format:
```
Be2CrPt
1.0
3.7002 0.0000 0.0000
0.0000 2.5825 -0.0494
0.0000 0.1874 4.7945
Cr Pt Be
1 1 2
Direct
0.5000 0.2500 0.2500
0.5000 0.7500 0.7500
0.0000 0.7809 0.0322
0.0000 0.7191 0.4678
```

No. 10
Material: MgAg3
Method: DFT, PBE-GGA
State: relaxed

## Properties
Formation energy from the elements = -0.0489 eV per atom
E above lowest polymorph = 0.114 eV per atom

The structure in POSCAR format:
```
MgAg3
1.0
9.4294 0.0022 0.0013
8.9432 2.9888 0.0013
8.9432 1.4559 2.6102
Mg Ag
1 3
Direct
0.0000 0.0000 0.0000
0.2513 0.2513 0.2513
0.5000 0.5000 0.5000
0.7487 0.7487 0.7487
```

No. 11
Material: UTl2Ni2S4
Method: DFT, PBE-GGA
State: relaxed

## Properties
Energy relative to the elements, uncorrected = -0.753 eV per atom

The structure in POSCAR format:
```
UTl2Ni2S4
1.0
-0.2656 -1.0329 3.6716
7.8035 0.2712 0.6408
-2.3844 6.7618 -0.2610
U Tl Ni S
1 2 2 4
Direct
0.0000 0.0000 0.0000
0.1436 0.5849 0.2871
0.8564 0.4151 0.7129
0.6813 0.9899 0.3627
0.3187 0.0101 0.6373
0.1965 0.1539 0.3930
0.8035 0.8461 0.6070
0.5238 0.7788 0.0476
0.4762 0.2212 0.9524
```

No. 12
Material: Pr2SmCu
Method: DFT, PBE-GGA
State: relaxed

## Properties
Formation energy from the elements = 0.0605 eV per atom
E above lowest polymorph = 0.115 eV per atom

The structure in POSCAR format:
```
Pr2SmCu
1.0
-1.8757 -0.4344 -3.1748
-2.9426 -2.2609 -0.1233
-7.7087 6.9058 1.4384
Pr Cu Sm
2 1 1
Direct
0.2646 0.2646 0.2061
0.7354 0.7354 0.7939
0.0000 0.0000 0.0000
0.5000 0.5000 0.5000
```

no.,VASP energy (eV/cell)
1,-37.3
2,-126.9
3,-16.7
4,-13.6
5,-11.8
6,-46.7
7,-14.4
8,-50.3
9,-23.7
10,-10.3
11,-50.9
12,-18.1